# 1
Material: KNa7Pb2
Method: DFT, PBE-GGA
State: relaxed

```
KNa7Pb2
1.0
5.7150 -6.4973 0.0000
5.7150 6.4973 0.0000
0.0000 0.0000 5.9187
K Na Pb
1 7 2
direct
0.0000 0.0000 0.0000
0.1107 0.3788 0.5000
0.3157 0.6843 0.0000
0.3788 0.1107 0.5000
0.5000 0.5000 0.5000
0.6212 0.8893 0.5000
0.6843 0.3157 0.0000
0.8893 0.6212 0.5000
0.2452 0.7548 0.5000
0.7548 0.2452 0.5000
```

- DOS(E_F) (states/eV per atom) = 0.4592
- energy of formation from the pure elements (meV per atom) = 2
- total moment (μB per formula unit) = 0.00

# 2
Material: K2NaPb
Method: DFT, PBE-GGA
State: relaxed

```
K2NaPb
1.0
5.3490 0.0000 0.0000
0.0000 5.3490 0.0000
0.0000 0.0000 5.6890
K Na Pb
2 1 1
direct
0.0000 0.5000 0.0000
0.5000 0.0000 0.0000
0.0000 0.0000 0.5000
0.5000 0.5000 0.5000
```

- DOS(E_F) (states/eV per atom) = 0.8127
- energy of formation from the pure elements (meV per atom) = 0
- total moment (μB per formula unit) = 0.00

# 3
Material: K12Na6Pb
Method: DFT, PBE-GGA
State: relaxed

```
K12Na6Pb
1.0
7.0743 4.0843 6.1226
-7.0743 4.0843 6.1226
0.0000 -8.1687 6.1226
K Na Pb
12 6 1
direct
0.0351 0.9356 0.3060
0.0644 0.6940 0.9649
0.1392 0.4744 0.3557
0.3060 0.0351 0.9356
0.3557 0.1392 0.4744
0.4744 0.3557 0.1392
0.5256 0.6443 0.8608
0.6443 0.8608 0.5256
0.6940 0.9649 0.0644
0.8608 0.5256 0.6443
0.9356 0.3060 0.0351
0.9649 0.0644 0.6940
0.2615 0.4052 0.7368
0.2632 0.7385 0.5948
0.4052 0.7368 0.2615
0.5948 0.2632 0.7385
0.7368 0.2615 0.4052
0.7385 0.5948 0.2632
0.5000 0.5000 0.5000
```

- DOS(E_F) (states/eV per atom) = 0.6208
- energy of formation from the pure elements (meV per atom) = -2
- total moment (μB per formula unit) = 0.00

# 4
Material: KNaPb2
Method: DFT, PBE-GGA
State: relaxed

```
KNaPb2
1.0
2.8749 -6.2424 0.0000
2.8749 6.2424 0.0000
0.0000 0.0000 9.0081
K Na Pb
2 2 4
direct
0.0641 0.9359 0.7500
0.9359 0.0641 0.2500
0.3607 0.6393 0.7500
0.6393 0.3607 0.2500
0.2257 0.7743 0.0791
0.2257 0.7743 0.4209
0.7743 0.2257 0.5791
0.7743 0.2257 0.9209
```

- DOS(E_F) (states/eV per atom) = 0.2524
- energy of formation from the pure elements (meV per atom) = -94
- total moment (μB per formula unit) = 0.00
- energy above the lowest structure with this stoichiometry (meV per atom) = 29

# 5
Material: K2Na5Pb4
Method: DFT, PBE-GGA
State: relaxed

```
K2Na5Pb4
1.0
7.5510 -3.3957 0.0000
7.5510 3.3957 0.0000
-6.8204 0.0000 7.5274
K Na Pb
2 5 4
direct
0.2018 0.2018 0.2020
0.7982 0.7982 0.7980
0.2497 0.7502 0.3111
0.2498 0.7503 0.6889
0.5000 0.5000 0.0000
0.7502 0.2497 0.3111
0.7503 0.2498 0.6889
0.2534 0.2534 0.5916
0.2535 0.2535 0.9158
0.7465 0.7465 0.0842
0.7466 0.7466 0.4084
```

- DOS(E_F) (states/eV per atom) = 0.4644
- energy of formation from the pure elements (meV per atom) = -113
- total moment (μB per formula unit) = 0.00

# 6
Material: KNaPb
Method: DFT, PBE-GGA
State: relaxed

```
KNaPb
1.0
5.0763 0.0000 0.0000
0.0187 6.9737 0.0000
2.5351 1.5673 7.1055
K Na Pb
2 2 2
direct
0.1270 0.3215 0.2447
0.8730 0.6785 0.7553
0.4144 0.2185 0.6692
0.5856 0.7815 0.3308
0.2315 0.8533 0.0386
0.7685 0.1467 0.9614
```

- DOS(E_F) (states/eV per atom) = 0.4155
- energy of formation from the pure elements (meV per atom) = -92
- total moment (μB per formula unit) = 0.00
- energy above the lowest structure with this stoichiometry (meV per atom) = 24

# 7
Material: KNa12Pb6
Method: DFT, PBE-GGA
State: relaxed

```
KNa12Pb6
1.0
7.0830 4.0894 3.6883
-7.0830 4.0894 3.6883
0.0000 -8.1787 3.6883
K Na Pb
1 12 6
direct
0.0000 0.0000 0.0000
0.1058 0.3828 0.3828
0.1131 0.5000 0.8869
0.1131 0.8869 0.5000
0.3828 0.1058 0.3828
0.3828 0.3828 0.1058
0.5000 0.1131 0.8869
0.5000 0.8869 0.1131
0.6172 0.6172 0.8942
0.6172 0.8942 0.6172
0.8869 0.1131 0.5000
0.8869 0.5000 0.1131
0.8942 0.6172 0.6172
0.3063 0.3063 0.6925
0.3063 0.6924 0.3063
0.3075 0.6937 0.6937
0.6924 0.3063 0.3063
0.6937 0.3075 0.6937
0.6937 0.6937 0.3076
```

- DOS(E_F) (states/eV per atom) = 0.3422
- energy of formation from the pure elements (meV per atom) = -65
- total moment (μB per formula unit) = 0.00

# 8
Material: KNa6Pb2
Method: DFT, PBE-GGA
State: relaxed

```
KNa6Pb2
1.0
4.8466 -2.7995 0.0000
4.8466 2.7995 0.0000
-0.0142 0.0000 10.4350
K Na Pb
1 6 2
direct
0.0000 0.0000 0.0000
0.0007 0.0007 0.3273
0.3332 0.3332 0.5624
0.3329 0.3329 0.8747
0.6671 0.6671 0.1253
0.6668 0.6668 0.4376
0.9993 0.9993 0.6727
0.3340 0.3340 0.2405
0.6660 0.6660 0.7595
```

- DOS(E_F) (states/eV per atom) = 0.4482
- energy of formation from the pure elements (meV per atom) = -120
- total moment (μB per formula unit) = 0.00
- energy above the lowest structure with this stoichiometry (meV per atom) = 0

# 9
Material: K2NaPb
Method: DFT, PBE-GGA
State: relaxed

```
K2NaPb
1.0
-5.0147 5.0147 3.4423
5.0147 -5.0147 3.4423
5.0147 5.0147 -3.4423
K Na Pb
4 2 2
direct
0.1151 0.6250 0.9901
0.3750 0.3651 0.4901
0.6349 0.1250 0.0099
0.8750 0.8849 0.5099
0.2500 0.7500 0.5000
0.5000 0.5000 0.0000
0.0000 0.0000 0.0000
0.7500 0.2500 0.5000
```

- DOS(E_F) (states/eV per atom) = 1.0839
- energy of formation from the pure elements (meV per atom) = 72
- total moment (μB per formula unit) = 0.00

# 10
Material: K2NaPb2
Method: DFT, PBE-GGA
State: relaxed

```
K2NaPb2
1.0
9.7240 0.0000 0.0000
0.0000 9.7240 0.0000
0.0000 0.0000 4.2532
K Na Pb
4 2 4
direct
0.1843 0.3157 0.0000
0.3157 0.8157 0.0000
0.6843 0.1843 0.0000
0.8157 0.6843 0.0000
0.0000 0.0000 0.5000
0.5000 0.5000 0.5000
0.1111 0.6111 0.5000
0.3889 0.1111 0.5000
0.6111 0.8889 0.5000
0.8889 0.3889 0.5000
```

- DOS(E_F) (states/eV per atom) = 0.4215
- energy of formation from the pure elements (meV per atom) = -49
- total moment (μB per formula unit) = 0.00
- energy above the lowest structure with this stoichiometry (meV per atom) = 37

# 11
Material: KNa5Pb
Method: DFT, PBE-GGA
State: relaxed

```
KNa5Pb
1.0
-3.5768 3.7279 4.9243
3.5768 -3.7279 4.9243
3.5768 3.7279 -4.9243
K Na Pb
1 5 1
direct
0.0000 0.0000 0.0000
0.2932 0.5878 0.7054
0.3466 0.3466 0.0000
0.7072 0.4164 0.7092
0.7072 0.9980 0.2908
0.8825 0.5878 0.2946
0.3887 0.8887 0.5000
```

- DOS(E_F) (states/eV per atom) = 0.2867
- energy of formation from the pure elements (meV per atom) = 49
- total moment (μB per formula unit) = 0.00

# 12
Material: KNa2Pb2
Method: DFT, PBE-GGA
State: relaxed

```
KNa2Pb2
1.0
9.4135 0.0000 0.0000
0.0000 9.4135 0.0000
0.0000 0.0000 3.7763
K Na Pb
2 4 4
direct
0.0000 0.0000 0.0000
0.5000 0.5000 0.0000
0.1735 0.3265 0.5000
0.3265 0.8265 0.5000
0.6735 0.1735 0.5000
0.8265 0.6735 0.5000
0.1181 0.6181 0.0000
0.3819 0.1181 0.0000
0.6181 0.8819 0.0000
0.8819 0.3819 0.0000
```

- DOS(E_F) (states/eV per atom) = 0.3931
- energy of formation from the pure elements (meV per atom) = -125
- total moment (μB per formula unit) = 0.00
- energy above the lowest structure with this stoichiometry (meV per atom) = 0